BaLaS2F: relaxed, PBE.

abc: 4.237 4.237 14.790
angles: 90.00 90.00 90.00
Atoms (fractional coordinates):
Ba (0.250, 0.250, 0.109)
Ba (0.750, 0.750, 0.891)
La (0.250, 0.250, 0.619)
La (0.750, 0.750, 0.381)
S (0.250, 0.250, 0.409)
S (0.250, 0.250, 0.795)
S (0.750, 0.750, 0.205)
S (0.750, 0.750, 0.591)
F (0.250, 0.750, 0.000)
F (0.750, 0.250, 0.000)

Summary:
**Formation energy without anion corrections**: -2.62 eV/atom
**Volume**: 132.77 Å³/f.u.
**Space group**: No. 129
**Uncorrected energy**: -6.013 eV/atom

HoEr2Tm5Mg: relaxed, PBE.

abc: 10.264 10.264 10.298
angles: 90.00 90.00 149.86
Atoms (fractional coordinates):
Ho (0.206, 0.794, 0.500)
Ho (0.794, 0.206, 0.000)
Er (0.115, 0.885, 0.213)
Er (0.115, 0.885, 0.787)
Er (0.885, 0.115, 0.287)
Er (0.885, 0.115, 0.713)
Tm (0.013, 0.987, 0.500)
Tm (0.290, 0.710, 0.201)
Tm (0.290, 0.710, 0.799)
Tm (0.383, 0.617, 0.500)
Tm (0.500, 0.500, 0.250)
Tm (0.500, 0.500, 0.750)
Tm (0.617, 0.383, 0.000)
Tm (0.710, 0.290, 0.299)
Tm (0.710, 0.290, 0.701)
Tm (0.987, 0.013, 0.000)
Mg (0.405, 0.595, 0.999)
Mg (0.595, 0.405, 0.499)

Summary:
**DOS(E_F)**: 12.80 states/eV/f.u.
**Energy of formation**: 99 kJ/mol of formula units
**Volume**: 272.38 Å³/f.u.
**Space group**: No. 36
**Uncorrected energy**: -4.070 eV/atom

Mo2Ir3: relaxed, PBE.

abc: 2.772 2.772 33.865
angles: 90.00 90.00 120.00
Atoms (fractional coordinates):
Mo (0.000, 0.000, 0.099)
Mo (0.000, 0.000, 0.901)
Mo (0.333, 0.667, 0.568)
Mo (0.333, 0.667, 0.766)
Mo (0.667, 0.333, 0.234)
Mo (0.667, 0.333, 0.432)
Ir (0.000, 0.000, 0.298)
Ir (0.000, 0.000, 0.500)
Ir (0.000, 0.000, 0.702)
Ir (0.333, 0.667, 0.167)
Ir (0.333, 0.667, 0.368)
Ir (0.333, 0.667, 0.965)
Ir (0.667, 0.333, 0.035)
Ir (0.667, 0.333, 0.632)
Ir (0.667, 0.333, 0.833)

Summary:
**DOS(E_F)**: 5.58 states/eV/f.u.
**Energy of formation**: -66 kJ/mol of formula units
**Volume**: 75.11 Å³/f.u.
**Energy above the lowest structure with this stoichiometry**: 14 meV per atom
**Space group**: No. 166
**Uncorrected energy**: -9.785 eV/atom

LaPrCdPb: relaxed, PBE.

abc: 7.886 7.886 7.886
angles: 90.00 90.00 90.00
Atoms (fractional coordinates):
La (0.000, 0.000, 0.000)
La (0.000, 0.500, 0.500)
La (0.500, 0.000, 0.500)
La (0.500, 0.500, 0.000)
Pr (0.000, 0.000, 0.500)
Pr (0.000, 0.500, 0.000)
Pr (0.500, 0.000, 0.000)
Pr (0.500, 0.500, 0.500)
Cd (0.250, 0.250, 0.250)
Cd (0.250, 0.750, 0.750)
Cd (0.750, 0.250, 0.750)
Cd (0.750, 0.750, 0.250)
Pb (0.250, 0.250, 0.750)
Pb (0.250, 0.750, 0.250)
Pb (0.750, 0.250, 0.250)
Pb (0.750, 0.750, 0.750)

Summary:
**DOS(E_F)**: 3.88 states/eV/f.u.
**Energy of formation**: -178 kJ/mol of formula units
**Volume**: 122.62 Å³/f.u.
**Space group**: No. 216
**Uncorrected energy**: -4.043 eV/atom

Eu2TlAu: relaxed, PBE.

abc: 4.122 4.122 31.192
angles: 90.00 90.00 120.00
Atoms (fractional coordinates):
Eu (0.000, 0.000, 0.107)
Eu (0.000, 0.000, 0.893)
Eu (0.333, 0.667, 0.559)
Eu (0.333, 0.667, 0.774)
Eu (0.667, 0.333, 0.226)
Eu (0.667, 0.333, 0.441)
Tl (0.000, 0.000, 0.000)
Tl (0.333, 0.667, 0.667)
Tl (0.667, 0.333, 0.333)
Au (0.000, 0.000, 0.500)
Au (0.333, 0.667, 0.167)
Au (0.667, 0.333, 0.833)

Summary:
**DOS(E_F)**: 20.06 states/eV/f.u.
**Energy of formation**: -108 kJ/mol of formula units
**Volume**: 153.01 Å³/f.u.
**Energy above the lowest structure with this stoichiometry**: 312 meV per atom
**Space group**: No. 166
**Uncorrected energy**: -6.827 eV/atom

Ca2PAuCl: relaxed, PBE.

abc: 5.767 5.767 4.552
angles: 90.00 90.00 90.00
Atoms (fractional coordinates):
Ca (0.000, 0.500, 0.000)
Ca (0.500, 0.000, 0.000)
P (0.000, 0.000, 0.500)
Au (0.000, 0.000, 0.000)
Cl (0.500, 0.500, 0.500)

Summary:
**DOS(E_F)**: 1.93 states/eV/f.u.
**Formation energy without anion corrections**: -0.69 eV/atom
**Volume**: 151.38 Å³/f.u.
**Space group**: No. 123
**Uncorrected energy**: -3.596 eV/atom